Below is crystalline VCoO at its relaxed geometry, with properties calculated at the PBE+U level.

a = 5.290 Å, b = 2.975 Å, c = 9.700 Å
α = 90.00°, β = 102.60°, γ = 90.00°
Site moments in Bohr magnetons follow the coordinates.
Atoms (fractional coordinates):
V 0.363 0.000 0.227  1.94
V 0.363 0.500 0.727  1.94
V 0.651 0.000 0.005  2.43
V 0.651 0.500 0.505  2.43
Co 0.885 0.000 0.753  2.00
Co 0.885 0.500 0.253  2.00
Co 0.063 0.000 0.475  2.09
Co 0.063 0.500 0.975  2.09
O 0.452 0.000 0.599  0.03
O 0.452 0.500 0.099  0.03
O 0.310 0.000 0.853  0.01
O 0.310 0.500 0.353  0.01

Offset from the most stable computed form ... 0.085 eV/atom
Symmetry ... No. 8